TbCeGa6 PBE-GGA relaxed; DFT formation energy = -425 kJ/mol of formula units; Fermi-level density of states = 0.678 states/eV/atom; volume = 159 Å³/cell
1.0
4.594 0.000 0.000
0.000 6.323 -0.203
0.000 -2.982 5.579
Tb Ce Ga
1 1 6
direct
0.500 0.416 0.584
0.000 0.084 0.916
0.000 0.044 0.397
0.000 0.603 0.956
0.000 0.603 0.397
0.500 0.458 0.104
0.500 0.896 0.542
0.500 0.896 0.104